Entry 1:
Entry from the Alexandria database: Nd2Tl3AgTe6 after structural relaxation (GGA-PBE).

CIF file:
```
data_Nd2Tl3AgTe6
_chemical_formula_sum 'Nd4 Tl6 Ag2 Te12'
_symmetry_space_group_name_H-M 'C 1 2/m 1'
_symmetry_Int_Tables_number 12
_cell_length_a 7.7641
_cell_length_b 13.5439
_cell_length_c 8.2698
_cell_angle_alpha 90.00
_cell_angle_beta 108.84
_cell_angle_gamma 90.00
loop_
_symmetry_equiv_pos_as_xyz
'x,y,z'
'-x,-y,-z'
'-x,y,-z'
'x,-y,z'
'x+1/2,y+1/2,z'
'-x+1/2,-y+1/2,-z'
'-x+1/2,y+1/2,-z'
'x+1/2,-y+1/2,z'
loop_
_atom_site_label
_atom_site_type_symbol
_atom_site_fract_x
_atom_site_fract_y
_atom_site_fract_z
Nd1 Nd 0.0000 0.1620 0.0000
Tl1 Tl 0.0000 0.0000 0.5000
Tl2 Tl 0.0000 0.3160 0.5000
Ag1 Ag 0.0000 0.5000 0.0000
Te1 Te 0.2284 0.3402 0.2173
Te2 Te 0.2504 0.0000 0.2410
```

Results
The value obtained for the spin magnetization is 0.0 μB/cell. The uncorrected formation energy comes out at -0.678 eV/atom.

Entry 2:
Entry from the Alexandria database: Cd3SiSn after structural relaxation (GGA-PBE).

CIF file:
```
data_Cd3SiSn
_chemical_formula_sum 'Cd3 Si1 Sn1'
_symmetry_space_group_name_H-M 'P m -3 m'
_symmetry_Int_Tables_number 221
_symmetry_space_group_name_Hall '-P 4 2 3'
_cell_length_a 5.1593
_cell_length_b 5.1593
_cell_length_c 5.1593
_cell_angle_alpha 90.00
_cell_angle_beta 90.00
_cell_angle_gamma 90.00
loop_
_atom_site_label
_atom_site_type_symbol
_atom_site_fract_x
_atom_site_fract_y
_atom_site_fract_z
Cd1 Cd 0.0000 0.0000 0.5000
Si1 Si 0.0000 0.0000 0.0000
Sn1 Sn 0.5000 0.5000 0.5000
```

Results
The relative energy among the computed polymorphs comes out at 0 meV per atom. The value obtained for the spin magnetization is 0.0 μB/cell. The uncorrected formation energy comes out at 0.438 eV/atom.

Entry 3:
Entry from the Alexandria database: LaZnGa2Pd5 after structural relaxation (GGA-PBE).

CIF file:
```
data_LaZnGa2Pd5
_chemical_formula_sum 'La1 Zn1 Ga2 Pd5'
_symmetry_space_group_name_H-M 'P 4/m m m'
_symmetry_Int_Tables_number 123
_symmetry_space_group_name_Hall '-P 4 2'
_cell_length_a 4.7832
_cell_length_b 4.7832
_cell_length_c 7.2860
_cell_angle_alpha 90.00
_cell_angle_beta 90.00
_cell_angle_gamma 90.00
loop_
_atom_site_label
_atom_site_type_symbol
_atom_site_fract_x
_atom_site_fract_y
_atom_site_fract_z
La1 La 0.0000 0.0000 0.0000
Zn1 Zn 0.0000 0.0000 0.5000
Ga1 Ga 0.5000 0.5000 0.3352
Pd1 Pd 0.0000 0.5000 0.2883
Pd2 Pd 0.5000 0.5000 0.0000
```

Results
The value obtained for the spin magnetization is 0.0 μB/cell. The calculation puts the formation energy at -459 meV per atom.

Entry 4:
Entry from the Alexandria database: ErZrNiAu after structural relaxation (GGA-PBE).

CIF file:
```
data_ErZrNiAu
_chemical_formula_sum 'Er4 Zr4 Ni4 Au4'
_symmetry_space_group_name_H-M 'F -4 3 m'
_symmetry_Int_Tables_number 216
_symmetry_space_group_name_Hall 'F -4 2 3'
_cell_length_a 6.8115
_cell_length_b 6.8115
_cell_length_c 6.8115
_cell_angle_alpha 90.00
_cell_angle_beta 90.00
_cell_angle_gamma 90.00
loop_
_atom_site_label
_atom_site_type_symbol
_atom_site_fract_x
_atom_site_fract_y
_atom_site_fract_z
Er1 Er 0.0000 0.0000 0.0000
Zr1 Zr 0.0000 0.0000 0.5000
Ni1 Ni 0.2500 0.2500 0.7500
Au1 Au 0.2500 0.2500 0.2500
```

Results
The value obtained for the spin magnetization is 0.0 μB/cell. The calculation puts the formation energy at -440 meV per atom.

Total DFT energy (no corrections) list, top to bottom, in eV per atom: -3.87; -2.00; -4.71; -5.98